1.
FeB3Ir | PBE | optimized geometry

Computed properties:
excess energy over the best structure of this formula in the dataset	131	meV per atom
N(E_F)	1.047	states/eV per atom
volume	13.48	Å³/atom
formation energy from the elements	1.210	eV/atom

abc: 4.0692 4.0692 4.0692
angles: 90.00 90.00 90.00
Closest atoms and distances in Å follow each position.
Space group Pm-3m (No. 221)
Symmetry-distinct sites (fractional):
Fe1 0.0000 0.0000 0.0000 x1  12 B 2.88
B1 0.0000 0.5000 0.5000 x3  2 Ir 2.03
Ir1 0.5000 0.5000 0.5000 x1  6 B 2.03



2.
MgAl3Ag7 | PBE | optimized geometry

Computed properties:
N(E_F)	0.295	states/eV per atom
volume	18.60	Å³/atom
formation energy from the elements	0.056	eV/atom

abc: 9.4928 9.5360 5.0887
angles: 90.00 117.32 90.00
Closest atoms and distances in Å follow each position.
Space group C2/m (No. 12)
Symmetry-distinct sites (fractional):
Mg1 0.0000 0.0000 0.0000 x2  4 Ag 2.54-2.75
Al1 0.0000 0.2735 0.5000 x4  7 Ag 2.61-2.83
Al2 0.0000 0.5000 0.0000 x2  6 Ag 2.62-2.78
Ag1 0.0000 0.0000 0.5000 x2  2 Mg 2.54, 2 Al 2.61
Ag2 0.1784 0.2758 0.1814 x8  3 Al 2.62-2.83, 3 Ag 2.79-2.93
Ag3 0.1821 0.5000 0.6111 x4  3 Al 2.66-2.78, 1 Mg 2.75, 2 Ag 2.92



3.
LiFeP | PBE | optimized geometry

Computed properties:
N(E_F)	0.467	states/eV per atom
volume	12.98	Å³/atom
formation energy from the elements	-0.481	eV/atom

abc: 7.0996 8.1148 10.8172
angles: 90.00 90.00 90.00
Closest atoms and distances in Å follow each position.
Space group Fddd (No. 70, origin choice 2)
Symmetry-distinct sites (fractional):
Li1 0.1250 0.1250 0.0161 x16  1 Li 2.36, 2 P 2.37
Fe1 0.1250 0.1250 0.4934 x16  4 P 2.21-2.22
P1 0.1250 0.3327 0.6250 x16  4 Fe 2.21-2.22, 2 Li 2.37



4.
MgAlNi3 | PBE | optimized geometry

Computed properties:
excess energy over the best structure of this formula in the dataset	551	meV per atom
N(E_F)	0.838	states/eV per atom
volume	15.89	Å³/atom
formation energy from the elements	0.353	eV/atom

abc: 4.2988 4.2988 4.2988
angles: 90.00 90.00 90.00
Closest atoms and distances in Å follow each position.
Space group Pm-3m (No. 221)
Symmetry-distinct sites (fractional):
Mg1 0.0000 0.0000 0.0000 x1  12 Ni 3.04
Al1 0.5000 0.5000 0.5000 x1  6 Ni 2.15
Ni1 0.0000 0.5000 0.5000 x3  2 Al 2.15